A geometry-optimized Cs3Ba2NpO6 structure, computed with PBE-GGA.

abc: 6.7246 11.6424 7.2268
angles: 90.00 107.70 90.00
Space group C2/m (No. 12)
Unique sites:
Cs1 0.0000 0.0000 0.0000 (multiplicity 2)
Cs2 0.0000 0.3357 0.0000 (multiplicity 4)
Ba1 0.0000 0.1662 0.5000 (multiplicity 4)
Np1 0.0000 0.5000 0.5000 (multiplicity 2)
O1 0.1932 0.3651 0.6733 (multiplicity 8)
O2 0.2151 0.5000 0.3198 (multiplicity 4)

Raw total energy (eV per cell): -152.53
DOS(E_F) (states/eV per atom): 0.660

A geometry-optimized CsBaNpO6 structure, computed with PBE-GGA.

abc: 6.1365 6.1365 4.8828
angles: 90.00 90.00 120.00
Space group P3 (No. 143)
Unique sites:
Cs1 0.0000 0.0000 0.0000 (multiplicity 1)
Ba1 0.6667 0.3333 0.4257 (multiplicity 1)
Np1 0.3333 0.6667 0.7062 (multiplicity 1)
O1 0.0122 0.5050 0.9107 (multiplicity 3)
O2 0.1787 0.8178 0.4840 (multiplicity 3)

Raw total energy (eV per cell): -64.11
DOS(E_F) (states/eV per atom): 0.588

A geometry-optimized Cs2BaNp2S7 structure, computed with PBE-GGA.

abc: 7.3831 7.3830 14.3672
angles: 90.00 104.84 90.00
Space group C2/m (No. 12)
Unique sites:
Cs1 0.1852 0.0000 0.3718 (multiplicity 4)
Ba1 0.0000 0.0000 0.0000 (multiplicity 2)
Np1 0.0928 0.5000 0.1864 (multiplicity 4)
S1 0.0000 0.5000 0.0000 (multiplicity 2)
S2 0.1648 0.2500 0.8287 (multiplicity 8)
S3 0.1814 0.5000 0.3642 (multiplicity 4)

Raw total energy (eV per cell): -150.09
DOS(E_F) (states/eV per atom): 1.174